Er2VPbO6 PBE with a Hubbard U optimized geometry; calculated total energy = -7.347 eV/atom; Fermi-level density of states = 0.000 states/eV per atom; total moment = 1.00 μB/cell
1.0
5.3642 0.0000 0.0000
0.0000 5.3642 0.0000
0.0000 0.0000 5.6311
Er V Pb O
2 1 1 6
Cartesian
0.0000 2.6821 0.0000 Er
2.6821 0.0000 0.0000 Er
0.0000 0.0000 3.6908 V
2.6821 2.6821 3.1671 Pb
0.0000 0.0000 1.9285 O
1.2412 1.2412 4.5133 O
1.2412 4.1229 4.5133 O
2.6821 2.6821 0.8682 O
4.1229 1.2412 4.5133 O
4.1229 4.1229 4.5133 O